A crystal of Nb3CdO relaxed with PBEsol. Source: Alexandria via LeMat-Bulk, functional SCAN.

Unit cell a=4.2680 b=4.2680 c=4.2680 alpha=90.00 beta=90.00 gamma=90.00
Closest atoms and distances in Å follow each position.
Fractional positions:
Nb (0.0000, 0.5000, 0.0000)  2 O 2.13
Nb (0.0000, 0.0000, 0.5000)  2 O 2.13
Nb (0.5000, 0.0000, 0.0000)  2 O 2.13
O (0.0000, 0.0000, 0.0000)  6 Nb 2.13
Cd (0.5000, 0.5000, 0.5000)  12 Nb 3.02

Values from the calculation:
The energy comes out at -27.844 eV per atom. The value obtained for the uncorrected formation energy is -637 meV/atom. Its symmetry is No. 221.